Record 1
The following is a DFT calculation (GGA-PBE) of a geometry-optimized SrLa2TiBr structure.

abc: 5.7235 5.7235 5.6990
angles: 90.00 90.00 90.00
Space group P4/mmm (No. 123)
One atom of each set of equivalent atoms:
Sr  0.0000  0.0000  0.0000 [1 per cell]
La  0.0000  0.5000  0.5000 [2 per cell]
Ti  0.5000  0.5000  0.0000 [1 per cell]
Br  0.0000  0.0000  0.5000 [1 per cell]

Record 2
The following is a DFT calculation (GGA-PBE) of a geometry-optimized LaTaBr2 structure.

Polymorph energy (0 for the lowest one) (meV/atom): 380.6

abc: 3.4259 5.0377 11.2001
angles: 90.00 90.00 90.00
Space group Imm2 (No. 44)
One atom of each set of equivalent atoms:
La  0.0000  0.0000  0.0000 [2 per cell]
Ta  0.0000  0.5000  0.7468 [2 per cell]
Br  0.0000  0.0000  0.4394 [2 per cell]
Br  0.0000  0.5000  0.2257 [2 per cell]

| no. | total moment (μB/atom) | formation energy (no corrections) (eV/atom) |
| --- | --- | --- |
| 1 | 0.486 | 0.116 |
| 2 | 0.000 | -0.116 |